# AgMo2Au (GGA-PBE, relaxed)
data_AgMo2Au
_chemical_formula_sum 'Ag3 Mo6 Au3'
_cell_length_a 2.814
_cell_length_b 2.814
_cell_length_c 29.128
_cell_angle_alpha 90.00
_cell_angle_beta 90.00
_cell_angle_gamma 120.00
_symmetry_space_group_name_H-M 'P 1'
_symmetry_Int_Tables_number 1
loop_
_symmetry_equiv_pos_as_xyz
'x,y,z'
loop_
_atom_site_label
_atom_site_type_symbol
_atom_site_fract_x
_atom_site_fract_y
_atom_site_fract_z
Ag1 Ag 0.000 0.000 0.000
Ag2 Ag 0.333 0.667 0.667
Ag3 Ag 0.667 0.333 0.333
Mo1 Mo 0.000 0.000 0.249
Mo2 Mo 0.000 0.000 0.751
Mo3 Mo 0.333 0.667 0.418
Mo4 Mo 0.333 0.667 0.916
Mo5 Mo 0.667 0.333 0.084
Mo6 Mo 0.667 0.333 0.582
Au1 Au 0.000 0.000 0.500
Au2 Au 0.333 0.667 0.167
Au3 Au 0.667 0.333 0.833
# Energy of formation (eV/f.u.): 1.9
# Energy relative to the lowest polymorph listed for this composition (eV per atom): 0.2602
# SG: No. 166
# Theoretical density (kg/m³): 12388
# DOS at the Fermi energy (states/eV/cell): 8.68

# PRhSe (GGA-PBE, relaxed)
data_PRhSe
_chemical_formula_sum 'P4 Rh4 Se4'
_cell_length_a 6.075
_cell_length_b 5.864
_cell_length_c 5.994
_cell_angle_alpha 90.00
_cell_angle_beta 102.96
_cell_angle_gamma 90.00
_symmetry_space_group_name_H-M 'P 1'
_symmetry_Int_Tables_number 1
loop_
_symmetry_equiv_pos_as_xyz
'x,y,z'
loop_
_atom_site_label
_atom_site_type_symbol
_atom_site_fract_x
_atom_site_fract_y
_atom_site_fract_z
P1 P 0.137 0.119 0.357
P2 P 0.137 0.381 0.857
P3 P 0.863 0.619 0.143
P4 P 0.863 0.881 0.643
Rh1 Rh 0.232 0.017 0.744
Rh2 Rh 0.232 0.483 0.244
Rh3 Rh 0.768 0.517 0.756
Rh4 Rh 0.768 0.983 0.256
Se1 Se 0.342 0.619 0.660
Se2 Se 0.342 0.881 0.160
Se3 Se 0.658 0.119 0.840
Se4 Se 0.658 0.381 0.340
# Raw formation energy (meV per atom): -624
# SG: No. 14
# Theoretical density (kg/m³): 6793

# Cs4CaSn3I12 (GGA-PBE, relaxed)
data_Cs4CaSn3I12
_chemical_formula_sum 'Cs4 Ca1 Sn3 I12'
_cell_length_a 10.867
_cell_length_b 10.867
_cell_length_c 10.867
_cell_angle_alpha 109.47
_cell_angle_beta 109.47
_cell_angle_gamma 109.47
_symmetry_space_group_name_H-M 'P 1'
_symmetry_Int_Tables_number 1
loop_
_symmetry_equiv_pos_as_xyz
'x,y,z'
loop_
_atom_site_label
_atom_site_type_symbol
_atom_site_fract_x
_atom_site_fract_y
_atom_site_fract_z
Cs1 Cs 0.000 0.000 0.500
Cs2 Cs 0.000 0.500 0.000
Cs3 Cs 0.500 0.000 0.000
Cs4 Cs 0.500 0.500 0.500
Ca1 Ca 0.000 0.000 0.000
Sn1 Sn 0.000 0.500 0.500
Sn2 Sn 0.500 0.000 0.500
Sn3 Sn 0.500 0.500 0.000
I1 I 0.000 0.248 0.248
I2 I 0.000 0.752 0.752
I3 I 0.248 0.000 0.248
I4 I 0.248 0.248 0.000
I5 I 0.250 0.500 0.750
I6 I 0.250 0.750 0.500
I7 I 0.500 0.250 0.750
I8 I 0.500 0.750 0.250
I9 I 0.750 0.250 0.500
I10 I 0.750 0.500 0.250
I11 I 0.752 0.000 0.752
I12 I 0.752 0.752 0.000
# Raw formation energy (meV per atom): -1092
# SG: No. 229
# Theoretical density (kg/m³): 4119

# MgSc2SnH (GGA-PBE, relaxed)
data_MgSc2SnH
_chemical_formula_sum 'Mg1 Sc2 Sn1 H1'
_cell_length_a 4.415
_cell_length_b 4.415
_cell_length_c 4.529
_cell_angle_alpha 90.00
_cell_angle_beta 90.00
_cell_angle_gamma 90.00
_symmetry_space_group_name_H-M 'P 1'
_symmetry_Int_Tables_number 1
loop_
_symmetry_equiv_pos_as_xyz
'x,y,z'
loop_
_atom_site_label
_atom_site_type_symbol
_atom_site_fract_x
_atom_site_fract_y
_atom_site_fract_z
Mg1 Mg 0.000 0.000 0.000
Sc1 Sc 0.000 0.500 0.500
Sc2 Sc 0.500 0.000 0.500
Sn1 Sn 0.500 0.500 0.000
H1 H 0.000 0.000 0.500
# SG: No. 123
# DFT total energy (eV/atom): -4.747
# Theoretical density (kg/m³): 4400
# DOS at the Fermi energy (states/eV/cell): 3.09

# TlCrRe2 (GGA-PBE, relaxed)
data_TlCrRe2
_chemical_formula_sum 'Tl2 Cr2 Re4'
_cell_length_a 3.029
_cell_length_b 4.678
_cell_length_c 9.352
_cell_angle_alpha 90.00
_cell_angle_beta 90.00
_cell_angle_gamma 90.00
_symmetry_space_group_name_H-M 'P 1'
_symmetry_Int_Tables_number 1
loop_
_symmetry_equiv_pos_as_xyz
'x,y,z'
loop_
_atom_site_label
_atom_site_type_symbol
_atom_site_fract_x
_atom_site_fract_y
_atom_site_fract_z
Tl1 Tl 0.000 0.000 0.000
Tl2 Tl 0.500 0.500 0.000
Cr1 Cr 0.000 0.000 0.500
Cr2 Cr 0.500 0.500 0.500
Re1 Re 0.000 0.500 0.288
Re2 Re 0.000 0.500 0.712
Re3 Re 0.500 0.000 0.288
Re4 Re 0.500 0.000 0.712
# Energy of formation (eV/f.u.): 2.8
# Energy relative to the lowest polymorph listed for this composition (eV per atom): 0.1903
# SG: No. 65
# Theoretical density (kg/m³): 15758
# DOS at the Fermi energy (states/eV/cell): 6.62

# TlTcCl6 (GGA-PBE, relaxed)
data_TlTcCl6
_chemical_formula_sum 'Tl1 Tc1 Cl6'
_cell_length_a 7.301
_cell_length_b 7.301
_cell_length_c 7.301
_cell_angle_alpha 55.08
_cell_angle_beta 55.08
_cell_angle_gamma 55.08
_symmetry_space_group_name_H-M 'P 1'
_symmetry_Int_Tables_number 1
loop_
_symmetry_equiv_pos_as_xyz
'x,y,z'
loop_
_atom_site_label
_atom_site_type_symbol
_atom_site_fract_x
_atom_site_fract_y
_atom_site_fract_z
Tl1 Tl 0.000 0.000 0.000
Tc1 Tc 0.500 0.500 0.500
Cl1 Cl 0.102 0.589 0.589
Cl2 Cl 0.411 0.411 0.898
Cl3 Cl 0.411 0.898 0.411
Cl4 Cl 0.589 0.102 0.589
Cl5 Cl 0.589 0.589 0.102
Cl6 Cl 0.898 0.411 0.411
# Raw formation energy (meV per atom): -675
# Energy relative to the lowest polymorph listed for this composition (eV per atom): 0.0312
# SG: No. 166
# Theoretical density (kg/m³): 3509
# DOS at the Fermi energy (states/eV/cell): 6.56

# Hf3Be2Fe (GGA-PBE, relaxed)
data_Hf3Be2Fe
_chemical_formula_sum 'Hf12 Be8 Fe4'
_cell_length_a 10.406
_cell_length_b 3.831
_cell_length_c 9.598
_cell_angle_alpha 90.00
_cell_angle_beta 90.00
_cell_angle_gamma 90.00
_symmetry_space_group_name_H-M 'P 1'
_symmetry_Int_Tables_number 1
loop_
_symmetry_equiv_pos_as_xyz
'x,y,z'
loop_
_atom_site_label
_atom_site_type_symbol
_atom_site_fract_x
_atom_site_fract_y
_atom_site_fract_z
Hf1 Hf 0.043 0.250 0.128
Hf2 Hf 0.122 0.750 0.571
Hf3 Hf 0.224 0.250 0.804
Hf4 Hf 0.276 0.750 0.304
Hf5 Hf 0.378 0.250 0.071
Hf6 Hf 0.457 0.750 0.628
Hf7 Hf 0.543 0.250 0.372
Hf8 Hf 0.622 0.750 0.929
Hf9 Hf 0.724 0.250 0.696
Hf10 Hf 0.776 0.750 0.196
Hf11 Hf 0.878 0.250 0.429
Hf12 Hf 0.957 0.750 0.872
Be1 Be 0.018 0.750 0.316
Be2 Be 0.191 0.750 0.010
Be3 Be 0.309 0.250 0.510
Be4 Be 0.482 0.250 0.816
Be5 Be 0.518 0.750 0.184
Be6 Be 0.691 0.750 0.490
Be7 Be 0.809 0.250 0.990
Be8 Be 0.982 0.250 0.684
Fe1 Fe 0.127 0.250 0.382
Fe2 Fe 0.373 0.750 0.882
Fe3 Fe 0.627 0.250 0.118
Fe4 Fe 0.873 0.750 0.618
# Energy of formation (eV/f.u.): -0.6
# SG: No. 62
# Theoretical density (kg/m³): 10579
# DOS at the Fermi energy (states/eV/cell): 25.69

# Cs2BF (GGA-PBE, relaxed)
data_Cs2BF
_chemical_formula_sum 'Cs8 B4 F4'
_cell_length_a 7.931
_cell_length_b 7.931
_cell_length_c 7.931
_cell_angle_alpha 90.00
_cell_angle_beta 90.00
_cell_angle_gamma 90.00
_symmetry_space_group_name_H-M 'P 1'
_symmetry_Int_Tables_number 1
loop_
_symmetry_equiv_pos_as_xyz
'x,y,z'
loop_
_atom_site_label
_atom_site_type_symbol
_atom_site_fract_x
_atom_site_fract_y
_atom_site_fract_z
Cs1 Cs 0.250 0.250 0.250
Cs2 Cs 0.250 0.250 0.750
Cs3 Cs 0.250 0.750 0.250
Cs4 Cs 0.250 0.750 0.750
Cs5 Cs 0.750 0.250 0.250
Cs6 Cs 0.750 0.250 0.750
Cs7 Cs 0.750 0.750 0.250
Cs8 Cs 0.750 0.750 0.750
B1 B 0.000 0.000 0.000
B2 B 0.000 0.500 0.500
B3 B 0.500 0.000 0.500
B4 B 0.500 0.500 0.000
F1 F 0.000 0.000 0.500
F2 F 0.000 0.500 0.000
F3 F 0.500 0.000 0.000
F4 F 0.500 0.500 0.500
# Raw formation energy (meV per atom): -98
# Energy relative to the lowest polymorph listed for this composition (eV per atom): 0.1250
# SG: No. 225
# Theoretical density (kg/m³): 3937
# DOS at the Fermi energy (states/eV/cell): 26.37

# AcLa2Y2 (GGA-PBE, relaxed)
data_AcLa2Y2
_chemical_formula_sum 'Ac2 La4 Y4'
_cell_length_a 5.836
_cell_length_b 5.836
_cell_length_c 12.931
_cell_angle_alpha 90.00
_cell_angle_beta 90.00
_cell_angle_gamma 120.00
_symmetry_space_group_name_H-M 'P 1'
_symmetry_Int_Tables_number 1
loop_
_symmetry_equiv_pos_as_xyz
'x,y,z'
loop_
_atom_site_label
_atom_site_type_symbol
_atom_site_fract_x
_atom_site_fract_y
_atom_site_fract_z
Ac1 Ac 0.000 0.000 0.250
Ac2 Ac 0.000 0.000 0.750
La1 La 0.333 0.667 0.107
La2 La 0.333 0.667 0.393
La3 La 0.667 0.333 0.607
La4 La 0.667 0.333 0.893
Y1 Y 0.000 0.000 0.000
Y2 Y 0.000 0.000 0.500
Y3 Y 0.333 0.667 0.750
Y4 Y 0.667 0.333 0.250
# Energy of formation (eV/f.u.): 1.3
# Energy relative to the lowest polymorph listed for this composition (eV per atom): 0.1451
# SG: No. 194
# Theoretical density (kg/m³): 5943
# DOS at the Fermi energy (states/eV/cell): 14.45

# Zn2FeBr (GGA-PBE, relaxed)
data_Zn2FeBr
_chemical_formula_sum 'Zn4 Fe2 Br2'
_cell_length_a 5.202
_cell_length_b 8.417
_cell_length_c 3.187
_cell_angle_alpha 90.00
_cell_angle_beta 90.17
_cell_angle_gamma 90.00
_symmetry_space_group_name_H-M 'P 1'
_symmetry_Int_Tables_number 1
loop_
_symmetry_equiv_pos_as_xyz
'x,y,z'
loop_
_atom_site_label
_atom_site_type_symbol
_atom_site_fract_x
_atom_site_fract_y
_atom_site_fract_z
Zn1 Zn 0.250 0.250 0.000
Zn2 Zn 0.250 0.750 0.000
Zn3 Zn 0.750 0.250 0.000
Zn4 Zn 0.750 0.750 0.000
Fe1 Fe 0.000 0.000 0.500
Fe2 Fe 0.500 0.500 0.500
Br1 Br 0.000 0.500 0.500
Br2 Br 0.500 0.000 0.500
# Raw formation energy (meV per atom): 365
# Energy relative to the lowest polymorph listed for this composition (eV per atom): 0.2367
# SG: No. 12
# Theoretical density (kg/m³): 6345
# DOS at the Fermi energy (states/eV/cell): 6.46

# Pr2MgNi4As3 (GGA-PBE, relaxed)
data_Pr2MgNi4As3
_chemical_formula_sum 'Pr2 Mg1 Ni4 As3'
_cell_length_a 4.119
_cell_length_b 4.119
_cell_length_c 10.139
_cell_angle_alpha 90.00
_cell_angle_beta 90.00
_cell_angle_gamma 90.00
_symmetry_space_group_name_H-M 'P 1'
_symmetry_Int_Tables_number 1
loop_
_symmetry_equiv_pos_as_xyz
'x,y,z'
loop_
_atom_site_label
_atom_site_type_symbol
_atom_site_fract_x
_atom_site_fract_y
_atom_site_fract_z
Pr1 Pr 0.000 0.500 0.236
Pr2 Pr 0.500 0.000 0.764
Mg1 Mg 0.000 0.000 0.500
Ni1 Ni 0.000 0.000 0.000
Ni2 Ni 0.000 0.500 0.640
Ni3 Ni 0.500 0.000 0.360
Ni4 Ni 0.500 0.500 0.000
As1 As 0.000 0.500 0.872
As2 As 0.500 0.000 0.128
As3 As 0.500 0.500 0.500
# Energy of formation (eV/f.u.): -7.4
# SG: No. 115
# Theoretical density (kg/m³): 7389
# DOS at the Fermi energy (states/eV/cell): 6.92